Record 1
! Sr2TaOs | Alexandria via LeMat-Bulk | PBE | relaxed; values from VASP
! * D(E_F): 1.2720 states/eV per atom
! * DFT total energy: -6.352 eV per atom
! * energy of formation: 260 meV/atom
! * polymorph energy (0 for the lowest one): 0 meV/atom
&SYSTEM
  ibrav = 0, nat = 4, ntyp = 3
/
ATOMIC_SPECIES
Sr 87.62 Sr.upf
Ta 180.95 Ta.upf
Os 190.23 Os.upf
ATOMIC_POSITIONS crystal
Sr 0.000 0.000 0.000
Sr 0.181 0.181 0.181
Ta 0.422 0.422 0.422
Os 0.761 0.761 0.761
CELL_PARAMETERS angstrom
2.156 1.245 8.786
-2.156 1.245 8.786
0.000 -2.490 8.786


Record 2
! SrTa2Os | Alexandria via LeMat-Bulk | PBE | relaxed; values from VASP
! * D(E_F): 1.1022 states/eV per atom
! * DFT total energy: -8.286 eV per atom
! * energy of formation: 868 meV/atom
! * polymorph energy (0 for the lowest one): 520 meV/atom
&SYSTEM
  ibrav = 0, nat = 4, ntyp = 3
/
ATOMIC_SPECIES
Sr 87.62 Sr.upf
Ta 180.95 Ta.upf
Os 190.23 Os.upf
ATOMIC_POSITIONS crystal
Sr 0.000 0.000 0.000
Ta 0.000 0.500 0.500
Ta 0.500 0.000 0.500
Os 0.500 0.500 0.000
CELL_PARAMETERS angstrom
2.911 -4.931 0.000
2.911 4.931 0.000
-0.892 0.000 2.692


Record 3
! SrTaOs2 | Alexandria via LeMat-Bulk | PBE | relaxed; values from VASP
! * D(E_F): 0.9123 states/eV per atom
! * DFT total energy: -7.966 eV per atom
! * energy of formation: 1032 meV/atom
&SYSTEM
  ibrav = 0, nat = 4, ntyp = 3
/
ATOMIC_SPECIES
Sr 87.62 Sr.upf
Ta 180.95 Ta.upf
Os 190.23 Os.upf
ATOMIC_POSITIONS crystal
Sr 0.000 0.000 0.000
Ta 0.500 0.000 0.500
Os 0.000 0.500 0.500
Os 0.500 0.500 0.000
CELL_PARAMETERS angstrom
3.157 0.000 0.000
0.000 4.605 0.000
0.000 0.000 4.997


Record 4
! SrTaOs2 | Alexandria via LeMat-Bulk | PBE | relaxed; values from VASP
! * D(E_F): 0.7550 states/eV per atom
! * DFT total energy: -8.407 eV per atom
! * energy of formation: 591 meV/atom
&SYSTEM
  ibrav = 0, nat = 4, ntyp = 3
/
ATOMIC_SPECIES
Sr 87.62 Sr.upf
Ta 180.95 Ta.upf
Os 190.23 Os.upf
ATOMIC_POSITIONS crystal
Sr 0.000 0.000 0.000
Ta 0.297 0.797 0.500
Os 0.520 0.520 0.000
Os 0.718 0.218 0.500
CELL_PARAMETERS angstrom
-1.437 2.515 5.397
1.437 -2.515 5.397
1.437 2.515 -5.397


Record 5
! Sr2TaOs | Alexandria via LeMat-Bulk | PBE | relaxed; values from VASP
! * D(E_F): 0.6124 states/eV per atom
! * DFT total energy: -5.657 eV per atom
! * energy of formation: 954 meV/atom
! * polymorph energy (0 for the lowest one): 694 meV/atom
&SYSTEM
  ibrav = 0, nat = 4, ntyp = 3
/
ATOMIC_SPECIES
Sr 87.62 Sr.upf
Ta 180.95 Ta.upf
Os 190.23 Os.upf
ATOMIC_POSITIONS crystal
Sr 0.250 0.750 0.500
Sr 0.750 0.250 0.500
Ta 0.000 0.000 0.000
Os 0.500 0.500 0.000
CELL_PARAMETERS angstrom
-2.042 2.042 5.432
2.042 -2.042 5.432
2.042 2.042 -5.432


Record 6
! SrTaOs | Alexandria via LeMat-Bulk | PBE | relaxed; values from VASP
! * D(E_F): 0.7611 states/eV per atom
! * DFT total energy: -7.756 eV per atom
! * energy of formation: 499 meV/atom
! * polymorph energy (0 for the lowest one): 158 meV/atom
&SYSTEM
  ibrav = 0, nat = 3, ntyp = 3
/
ATOMIC_SPECIES
Sr 87.62 Sr.upf
Ta 180.95 Ta.upf
Os 190.23 Os.upf
ATOMIC_POSITIONS crystal
Sr 0.000 0.000 0.000
Ta 0.667 0.333 0.500
Os 0.333 0.667 0.500
CELL_PARAMETERS angstrom
4.240 0.000 0.000
-2.120 3.672 0.000
0.000 0.000 5.300


Record 7
! SrTaOs2 | Alexandria via LeMat-Bulk | PBE | relaxed; values from VASP
! * D(E_F): 0.6981 states/eV per atom
! * DFT total energy: -8.196 eV per atom
! * energy of formation: 803 meV/atom
&SYSTEM
  ibrav = 0, nat = 4, ntyp = 3
/
ATOMIC_SPECIES
Sr 87.62 Sr.upf
Ta 180.95 Ta.upf
Os 190.23 Os.upf
ATOMIC_POSITIONS crystal
Sr 0.000 0.000 0.000
Ta 0.500 0.500 0.000
Os 0.277 0.777 0.500
Os 0.723 0.223 0.500
CELL_PARAMETERS angstrom
-1.569 2.613 4.665
1.569 -2.613 4.665
1.569 2.613 -4.665


Record 8
! SrTaOs2 | Alexandria via LeMat-Bulk | PBE | relaxed; values from VASP
! * D(E_F): 0.8050 states/eV per atom
! * DFT total energy: -8.472 eV per atom
! * energy of formation: 527 meV/atom
&SYSTEM
  ibrav = 0, nat = 4, ntyp = 3
/
ATOMIC_SPECIES
Sr 87.62 Sr.upf
Ta 180.95 Ta.upf
Os 190.23 Os.upf
ATOMIC_POSITIONS crystal
Sr 0.000 0.000 0.000
Ta 0.801 0.801 0.354
Os 0.227 0.227 0.652
Os 0.513 0.513 0.525
CELL_PARAMETERS angstrom
5.126 -1.563 0.000
5.126 1.563 0.000
-1.491 0.000 5.277


Record 9
! SrTa2Os | Alexandria via LeMat-Bulk | PBE | relaxed; values from VASP
! * D(E_F): 1.1643 states/eV per atom
! * DFT total energy: -8.163 eV per atom
! * energy of formation: 991 meV/atom
! * polymorph energy (0 for the lowest one): 643 meV/atom
&SYSTEM
  ibrav = 0, nat = 4, ntyp = 3
/
ATOMIC_SPECIES
Sr 87.62 Sr.upf
Ta 180.95 Ta.upf
Os 190.23 Os.upf
ATOMIC_POSITIONS crystal
Sr 0.000 0.000 0.000
Ta 0.000 0.500 0.500
Ta 0.500 0.000 0.500
Os 0.500 0.500 0.000
CELL_PARAMETERS angstrom
2.837 -4.998 0.000
2.837 4.998 0.000
0.000 0.000 2.776


Record 10
! SrTa2Os | Alexandria via LeMat-Bulk | PBE | relaxed; values from VASP
! * D(E_F): 1.8021 states/eV per atom
! * DFT total energy: -8.001 eV per atom
! * energy of formation: 1153 meV/atom
! * polymorph energy (0 for the lowest one): 805 meV/atom
&SYSTEM
  ibrav = 0, nat = 8, ntyp = 3
/
ATOMIC_SPECIES
Sr 87.62 Sr.upf
Ta 180.95 Ta.upf
Os 190.23 Os.upf
ATOMIC_POSITIONS crystal
Sr 0.375 0.625 0.750
Sr 0.625 0.375 0.250
Ta 0.000 0.000 0.000
Ta 0.000 0.000 0.500
Ta 0.000 0.500 0.000
Ta 0.500 0.000 0.500
Os 0.125 0.875 0.250
Os 0.875 0.125 0.750
CELL_PARAMETERS angstrom
-2.585 2.585 8.800
2.585 -2.585 8.800
2.585 2.585 -8.800


Record 11
! SrTa2Os | Alexandria via LeMat-Bulk | PBE | relaxed; values from VASP
! * D(E_F): 0.9765 states/eV per atom
! * DFT total energy: -8.285 eV per atom
! * energy of formation: 869 meV/atom
! * polymorph energy (0 for the lowest one): 521 meV/atom
&SYSTEM
  ibrav = 0, nat = 4, ntyp = 3
/
ATOMIC_SPECIES
Sr 87.62 Sr.upf
Ta 180.95 Ta.upf
Os 190.23 Os.upf
ATOMIC_POSITIONS crystal
Sr 0.000 0.000 0.000
Ta 0.250 0.250 0.250
Ta 0.500 0.500 0.500
Os 0.750 0.750 0.750
CELL_PARAMETERS angstrom
0.000 3.396 3.396
3.396 0.000 3.396
3.396 3.396 0.000


Record 12
! SrTaOs | Alexandria via LeMat-Bulk | PBE | relaxed; values from VASP
! * D(E_F): 0.9889 states/eV per atom
! * DFT total energy: -5.816 eV per atom
! * energy of formation: 2439 meV/atom
! * polymorph energy (0 for the lowest one): 2098 meV/atom
&SYSTEM
  ibrav = 0, nat = 3, ntyp = 3
/
ATOMIC_SPECIES
Sr 87.62 Sr.upf
Ta 180.95 Ta.upf
Os 190.23 Os.upf
ATOMIC_POSITIONS crystal
Sr 0.000 0.000 0.000
Ta 0.750 0.750 0.750
Os 0.250 0.250 0.250
CELL_PARAMETERS angstrom
0.000 3.257 3.257
3.257 0.000 3.257
3.257 3.257 0.000


Record 13
! Sr2TaOs | Alexandria via LeMat-Bulk | PBE | relaxed; values from VASP
! * D(E_F): 1.1849 states/eV per atom
! * DFT total energy: -5.375 eV per atom
! * energy of formation: 1236 meV/atom
! * polymorph energy (0 for the lowest one): 976 meV/atom
&SYSTEM
  ibrav = 0, nat = 4, ntyp = 3
/
ATOMIC_SPECIES
Sr 87.62 Sr.upf
Ta 180.95 Ta.upf
Os 190.23 Os.upf
ATOMIC_POSITIONS crystal
Sr 0.241 0.241 0.241
Sr 0.759 0.759 0.759
Ta 0.000 0.000 0.000
Os 0.500 0.500 0.500
CELL_PARAMETERS angstrom
1.592 0.919 10.822
-1.592 0.919 10.822
0.000 -1.839 10.822


Record 14
! Sr2TaOs | Alexandria via LeMat-Bulk | PBE | relaxed; values from VASP
! * D(E_F): 0.9901 states/eV per atom
! * DFT total energy: -6.151 eV per atom
! * energy of formation: 460 meV/atom
! * polymorph energy (0 for the lowest one): 200 meV/atom
&SYSTEM
  ibrav = 0, nat = 4, ntyp = 3
/
ATOMIC_SPECIES
Sr 87.62 Sr.upf
Ta 180.95 Ta.upf
Os 190.23 Os.upf
ATOMIC_POSITIONS crystal
Sr 0.000 0.000 0.000
Sr 0.705 0.205 0.500
Ta 0.307 0.807 0.500
Os 0.453 0.453 0.000
CELL_PARAMETERS angstrom
-1.824 2.832 5.515
1.824 -2.832 5.515
1.824 2.832 -5.515


Record 15
! SrTaOs2 | Alexandria via LeMat-Bulk | PBE | relaxed; values from VASP
! * D(E_F): 1.0187 states/eV per atom
! * DFT total energy: -8.451 eV per atom
! * energy of formation: 547 meV/atom
&SYSTEM
  ibrav = 0, nat = 4, ntyp = 3
/
ATOMIC_SPECIES
Sr 87.62 Sr.upf
Ta 180.95 Ta.upf
Os 190.23 Os.upf
ATOMIC_POSITIONS crystal
Sr 0.000 0.000 0.000
Ta 0.500 0.500 0.357
Os 0.000 0.000 0.554
Os 0.500 0.500 0.690
CELL_PARAMETERS angstrom
2.870 0.000 0.000
0.000 3.761 0.000
0.000 0.000 7.855